Version A
Here is an optimized crystal structure of AgOsBr2 from the Alexandria database. Energies are from PBEsol.

a b c (Å): 3.160 4.740 4.740
angles (deg): 90.08 90.00 90.00
Fractional coordinates of all 4 atoms:
Os 0.500 0.000 0.000
Br 0.000 0.500 0.000
Br 0.000 0.000 0.500
Ag 0.500 0.500 0.500


Version B
Here is an optimized crystal structure of AgOsBr2 from the Alexandria database. Energies are from PBEsol.

a b c (Å): 3.161 4.252 7.123
angles (deg): 107.30 90.00 90.00
Fractional coordinates of all 4 atoms:
Os 0.000 0.853 0.580
Br 0.000 0.031 0.938
Br 0.500 0.718 0.310
Ag 0.500 0.398 0.672


Version C
Here is an optimized crystal structure of AgOsBr2 from the Alexandria database. Energies are from PBEsol.

a b c (Å): 2.984 4.497 6.578
angles (deg): 109.99 103.11 90.00
Fractional coordinates of all 4 atoms:
Os 0.512 0.512 0.024
Br 0.987 0.987 0.973
Br 0.185 0.685 0.370
Ag 0.816 0.316 0.633


Version D
Here is an optimized crystal structure of AgOsBr2 from the Alexandria database. Energies are from PBEsol.

a b c (Å): 3.730 3.730 7.482
angles (deg): 75.57 75.57 60.00
Fractional coordinates of all 4 atoms:
Os 0.504 0.504 0.487
Br 0.018 0.018 0.945
Br 0.219 0.219 0.344
Ag 0.759 0.759 0.724


Least stable = version A


Version A
Here is an optimized crystal structure of AgPBr2 from the Alexandria database. Energies are from PBEsol.

a b c (Å): 3.329 4.923 4.923
angles (deg): 90.00 90.00 90.00
Fractional coordinates of all 4 atoms:
Ag 0.500 0.000 0.000
Br 0.000 0.000 0.500
Br 0.000 0.500 0.000
P 0.500 0.500 0.500


Version B
Here is an optimized crystal structure of AgPBr2 from the Alexandria database. Energies are from PBEsol.

a b c (Å): 3.434 4.510 6.352
angles (deg): 97.14 90.00 112.38
Fractional coordinates of all 4 atoms:
Ag 0.500 0.000 0.000
Br 0.799 0.598 0.755
Br 0.201 0.402 0.245
P 0.000 0.000 0.500


Version C
Here is an optimized crystal structure of AgPBr2 from the Alexandria database. Energies are from PBEsol.

a b c (Å): 4.856 4.856 4.856
angles (deg): 60.00 60.00 60.00
Fractional coordinates of all 4 atoms:
Ag 0.500 0.500 0.500
Br 0.000 0.000 0.000
Br 0.750 0.750 0.750
P 0.250 0.250 0.250


Version D
Here is an optimized crystal structure of AgPBr2 from the Alexandria database. Energies are from PBEsol.

a b c (Å): 3.289 3.971 7.051
angles (deg): 90.00 102.20 90.00
Fractional coordinates of all 4 atoms:
Ag 0.000 0.500 0.000
Br 0.369 0.000 0.250
Br 0.631 0.000 0.750
P 0.500 0.500 0.500


Least stable = version C


Version A
Here is an optimized crystal structure of Ag2PbBr from the Alexandria database. Energies are from PBEsol.

a b c (Å): 3.822 3.822 7.871
angles (deg): 75.95 75.95 60.00
Fractional coordinates of all 4 atoms:
Pb 0.261 0.261 0.216
Br 0.486 0.486 0.543
Ag 0.008 0.008 0.976
Ag 0.745 0.745 0.765


Version B
Here is an optimized crystal structure of Ag2PbBr from the Alexandria database. Energies are from PBEsol.

a b c (Å): 3.385 5.122 5.348
angles (deg): 106.74 90.00 90.00
Fractional coordinates of all 4 atoms:
Pb 0.000 0.500 0.500
Br 0.500 0.000 0.500
Ag 0.000 0.000 0.000
Ag 0.500 0.500 0.000


Least stable = version B


Version A
Here is an optimized crystal structure of AgPtBr from the Alexandria database. Energies are from PBEsol.

a b c (Å): 4.444 4.444 4.444
angles (deg): 60.00 60.00 60.00
Fractional coordinates of all 3 atoms:
Br 0.500 0.500 0.500
Ag 0.000 0.000 0.000
Pt 0.250 0.250 0.250


Version B
Here is an optimized crystal structure of AgPtBr from the Alexandria database. Energies are from PBEsol.

a b c (Å): 3.291 3.291 5.917
angles (deg): 90.00 90.00 120.00
Fractional coordinates of all 3 atoms:
Br 0.333 0.667 0.655
Ag 0.000 0.000 0.011
Pt 0.667 0.333 0.334


Least stable = version A


Version A
Here is an optimized crystal structure of ReAg2Br from the Alexandria database. Energies are from PBEsol.

a b c (Å): 2.714 2.935 9.061
angles (deg): 90.00 89.91 90.00
Fractional coordinates of all 4 atoms:
Re 0.000 0.500 0.500
Br 0.500 0.500 0.000
Ag 0.499 0.000 0.722
Ag 0.501 0.000 0.278


Version B
Here is an optimized crystal structure of ReAg2Br from the Alexandria database. Energies are from PBEsol.

a b c (Å): 2.643 5.261 5.261
angles (deg): 90.00 90.00 90.00
Last column: magnetic moment on the atom in μB.
Fractional coordinates of all 4 atoms:
Re 0.500 0.000 0.000  1.04
Br 0.500 0.500 0.500  0.07
Ag 0.000 0.000 0.500  0.03
Ag 0.000 0.500 0.000  0.03


Least stable = version B


Version A
Here is an optimized crystal structure of Ag2RhBr from the Alexandria database. Energies are from PBEsol.

a b c (Å): 2.989 4.401 6.482
angles (deg): 109.85 103.33 90.00
Fractional coordinates of all 4 atoms:
Rh 0.227 0.727 0.453
Br 0.565 0.565 0.129
Ag 0.924 0.924 0.848
Ag 0.785 0.285 0.569


Version B
Here is an optimized crystal structure of Ag2RhBr from the Alexandria database. Energies are from PBEsol.

a b c (Å): 3.036 3.036 7.469
angles (deg): 90.00 90.00 90.00
Fractional coordinates of all 4 atoms:
Rh 0.500 0.500 0.751
Br 0.000 0.000 0.532
Ag 0.000 0.000 0.988
Ag 0.500 0.500 0.229


Least stable = version B


Version A
Here is an optimized crystal structure of AgSbBr2 from the Alexandria database. Energies are from PBEsol.

a b c (Å): 3.369 5.287 5.287
angles (deg): 90.19 90.00 90.00
Fractional coordinates of all 4 atoms:
Sb 0.500 0.000 0.000
Br 0.000 0.500 0.000
Br 0.000 0.000 0.500
Ag 0.500 0.500 0.500


Version B
Here is an optimized crystal structure of AgSbBr2 from the Alexandria database. Energies are from PBEsol.

a b c (Å): 5.052 5.126 5.052
angles (deg): 60.47 90.00 119.53
Fractional coordinates of all 4 atoms:
Sb 0.500 0.000 0.500
Br 0.250 0.500 0.250
Br 0.750 0.500 0.750
Ag 0.000 0.000 0.000


Least stable = version B


Version A
Here is an optimized crystal structure of Si2AgBr from the Alexandria database. Energies are from PBEsol.

a b c (Å): 3.768 3.735 6.048
angles (deg): 105.06 108.15 90.00
Fractional coordinates of all 4 atoms:
Ag 0.000 0.000 0.000
Br 0.500 0.500 0.000
Si 0.763 0.789 0.525
Si 0.237 0.211 0.475


Version B
Here is an optimized crystal structure of Si2AgBr from the Alexandria database. Energies are from PBEsol.

a b c (Å): 2.923 4.997 4.997
angles (deg): 90.00 90.00 90.00
Fractional coordinates of all 4 atoms:
Ag 0.500 0.500 0.500
Br 0.500 0.000 0.000
Si 0.000 0.000 0.500
Si 0.000 0.500 0.000


Version C
Here is an optimized crystal structure of Si2AgBr from the Alexandria database. Energies are from PBEsol.

a b c (Å): 3.135 3.135 8.549
angles (deg): 90.00 90.00 118.17
Fractional coordinates of all 4 atoms:
Ag 0.500 0.500 0.500
Br 0.500 0.500 0.000
Si 0.000 0.000 0.257
Si 0.000 0.000 0.743


Version D
Here is an optimized crystal structure of Si2AgBr from the Alexandria database. Energies are from PBEsol.

a b c (Å): 3.553 3.688 6.803
angles (deg): 105.72 105.14 90.00
Fractional coordinates of all 4 atoms:
Ag 0.512 0.512 0.025
Br 0.194 0.694 0.389
Si 0.953 0.953 0.907
Si 0.840 0.340 0.680


Least stable = version B


Version A
Here is an optimized crystal structure of SiAg2Br from the Alexandria database. Energies are from PBEsol.

a b c (Å): 3.248 3.228 7.460
angles (deg): 90.00 90.00 90.00
Fractional coordinates of all 4 atoms:
Ag 0.500 0.000 0.700
Ag 0.500 0.000 0.300
Br 0.500 0.500 0.000
Si 0.000 0.500 0.500


Version B
Here is an optimized crystal structure of SiAg2Br from the Alexandria database. Energies are from PBEsol.

a b c (Å): 3.268 4.003 6.725
angles (deg): 107.32 104.06 90.00
Fractional coordinates of all 4 atoms:
Ag 0.931 0.931 0.862
Ag 0.765 0.265 0.530
Br 0.543 0.543 0.086
Si 0.261 0.761 0.522


Version C
Here is an optimized crystal structure of SiAg2Br from the Alexandria database. Energies are from PBEsol.

a b c (Å): 6.275 6.275 6.275
angles (deg): 97.39 115.83 115.83
Fractional coordinates of all 8 atoms:
Si 0.500 0.250 0.750
Si 0.000 0.500 0.500
Br 0.500 0.750 0.250
Br 0.000 0.000 0.000
Ag 0.966 0.591 0.125
Ag 0.034 0.159 0.625
Ag 0.466 0.875 0.841
Ag 0.534 0.375 0.409


Version D
Here is an optimized crystal structure of SiAg2Br from the Alexandria database. Energies are from PBEsol.

a b c (Å): 3.277 4.925 4.925
angles (deg): 109.38 90.00 90.00
Fractional coordinates of all 4 atoms:
Ag 0.000 0.500 0.000
Ag 0.000 0.000 0.500
Br 0.500 0.000 0.000
Si 0.500 0.500 0.500


Least stable = version D


Version A
Here is an optimized crystal structure of Sr2AgBr from the Alexandria database. Energies are from PBEsol.

a b c (Å): 4.351 4.351 8.488
angles (deg): 75.15 75.15 60.00
Fractional coordinates of all 4 atoms:
Sr 0.742 0.742 0.773
Sr 0.258 0.258 0.227
Ag 0.000 0.000 0.000
Br 0.500 0.500 0.500


Version B
Here is an optimized crystal structure of Sr2AgBr from the Alexandria database. Energies are from PBEsol.

a b c (Å): 4.516 4.537 6.403
angles (deg): 90.00 90.00 90.00
Fractional coordinates of all 4 atoms:
Sr 0.500 0.500 0.000
Sr 0.000 0.000 0.500
Br 0.500 0.500 0.500
Ag 0.000 0.000 0.000


Least stable = version B


Version A
Here is an optimized crystal structure of Ag2TeBr from the Alexandria database. Energies are from PBEsol.

a b c (Å): 3.652 3.652 7.126
angles (deg): 90.00 90.00 90.00
Fractional coordinates of all 4 atoms:
Te 0.500 0.500 0.838
Ag 0.000 0.000 0.022
Ag 0.500 0.500 0.226
Br 0.000 0.000 0.414


Version B
Here is an optimized crystal structure of Ag2TeBr from the Alexandria database. Energies are from PBEsol.

a b c (Å): 3.460 4.372 6.584
angles (deg): 90.00 89.99 90.00
Fractional coordinates of all 4 atoms:
Te 0.125 0.500 0.826
Ag 0.124 0.000 0.072
Ag 0.625 0.500 0.177
Br 0.625 0.000 0.425


Version C
Here is an optimized crystal structure of Ag2TeBr from the Alexandria database. Energies are from PBEsol.

a b c (Å): 3.906 3.906 7.397
angles (deg): 74.69 74.69 60.00
Fractional coordinates of all 4 atoms:
Te 0.000 0.000 0.000
Ag 0.252 0.252 0.243
Ag 0.748 0.748 0.757
Br 0.500 0.500 0.500


Least stable = version A